Density functional theory data (PBE with a Hubbard U) for an optimized crystal structure of Li2La2CrO6.

The space group is R-3m (No. 166, hexagonal axes) and the conventional cell measures 5.6292, 5.6292 and 14.5044 Å, with angles of 90.00, 90.00 and 120.00 degrees. The distinct sites, in fractional coordinates, are Li at (0.0000, 0.0000, 0.0726), La at (0.0000, 0.0000, 0.2809), Cr at (0.0000, 0.0000, 0.5000) and O at (0.0286, 0.5143, 0.2519).

The electronic total energy comes out at -7.008 eV/atom. As for the crystal system: trigonal.